--- w ---
VASP calculation (PBE) on a relaxed structure of LaTi3B.

Calculated density, g/cm3: 4.701

Lattice parameters (Å, degrees): 4.697 4.697 4.697 90.00 90.00 90.00
Element x y z (fractional)
B 0.500 0.500 0.500
Ti 0.000 0.500 0.000
Ti 0.000 0.000 0.500
Ti 0.500 0.000 0.000
La 0.000 0.000 0.000

=====

--- x ---
VASP calculation (PBE) on a relaxed structure of LaTi3B.

Calculated density, g/cm3: 5.305

Lattice parameters (Å, degrees): 4.511 4.511 4.511 90.00 90.00 90.00
Element x y z (fractional)
B 0.000 0.000 0.000
Ti 0.000 0.500 0.000
Ti 0.000 0.000 0.500
Ti 0.500 0.000 0.000
La 0.500 0.500 0.500

=====

Energies relative to the most stable structure are w 186.0; x 0.0, reported in kJ/mol of atoms.

=====

--- w ---
VASP calculation (PBE) on a relaxed structure of LaTlB3.

Calculated density, g/cm3: 5.127

Lattice parameters (Å, degrees): 4.955 4.955 4.955 90.00 90.00 90.00
Element x y z (fractional)
Tl 0.500 0.500 0.500
B 0.000 0.500 0.000
B 0.000 0.000 0.500
B 0.500 0.000 0.000
La 0.000 0.000 0.000

=====

--- x ---
VASP calculation (PBE) on a relaxed structure of LaTlB3.

Calculated density, g/cm3: 6.605

Lattice parameters (Å, degrees): 4.554 4.554 4.554 90.00 90.00 90.00
Element x y z (fractional)
Tl 0.000 0.000 0.000
B 0.000 0.500 0.000
B 0.000 0.000 0.500
B 0.500 0.000 0.000
La 0.500 0.500 0.500

=====

Energies relative to the most stable structure are w 48.2; x 0.0, reported in kJ/mol of atoms.

=====

--- w ---
VASP calculation (PBE) on a relaxed structure of LaTl3B.

Calculated density, g/cm3: 5.371

Lattice parameters (Å, degrees): 6.178 6.178 6.178 90.00 90.00 90.00
Element x y z (fractional)
Tl 0.000 0.500 0.000
Tl 0.000 0.000 0.500
Tl 0.500 0.000 0.000
B 0.500 0.500 0.500
La 0.000 0.000 0.000

=====

--- x ---
VASP calculation (PBE) on a relaxed structure of LaTl3B.

Calculated density, g/cm3: 9.800

Lattice parameters (Å, degrees): 5.056 5.056 5.056 90.00 90.00 90.00
Element x y z (fractional)
Tl 0.000 0.500 0.000
Tl 0.000 0.000 0.500
Tl 0.500 0.000 0.000
B 0.000 0.000 0.000
La 0.500 0.500 0.500

=====

Energies relative to the most stable structure are w 107.2; x 0.0, reported in kJ/mol of atoms.

=====

--- w ---
VASP calculation (PBE) on a relaxed structure of LaB3W.

Calculated density, g/cm3: 7.409

Lattice parameters (Å, degrees): 4.302 4.302 4.302 90.00 90.00 90.00
Element x y z (fractional)
B 0.000 0.500 0.000
B 0.000 0.000 0.500
B 0.500 0.000 0.000
W 0.500 0.500 0.500
La 0.000 0.000 0.000

=====

--- x ---
VASP calculation (PBE) on a relaxed structure of LaB3W.

Calculated density, g/cm3: 7.573

Lattice parameters (Å, degrees): 4.271 4.271 4.271 90.00 90.00 90.00
Element x y z (fractional)
B 0.000 0.500 0.000
B 0.000 0.000 0.500
B 0.500 0.000 0.000
W 0.000 0.000 0.000
La 0.500 0.500 0.500

=====

Energies relative to the most stable structure are w 261.4; x 0.0, reported in kJ/mol of atoms.

=====

--- w ---
VASP calculation (PBE) on a relaxed structure of LaB2W.

Calculated density, g/cm3: 9.612

Lattice parameters (Å, degrees): 4.382 4.382 4.382 60.00 60.00 60.00
Element x y z (fractional)
B 0.250 0.250 0.250
B 0.750 0.750 0.750
W 0.500 0.500 0.500
La 0.000 0.000 0.000

=====

--- x ---
VASP calculation (PBE) on a relaxed structure of LaB2W.

Calculated density, g/cm3: 7.174

Lattice parameters (Å, degrees): 5.456 5.456 6.601 65.59 65.59 90.00
Element x y z (fractional)
B 0.726 0.125 0.250
B 0.024 0.625 0.250
B 0.375 0.274 0.750
B 0.875 0.976 0.750
W 0.000 0.000 0.000
W 0.750 0.250 0.500
La 0.500 0.500 0.000
La 0.250 0.750 0.500

=====

Energies relative to the most stable structure are w 45.7; x 0.0, reported in kJ/mol of atoms.

=====

--- w ---
VASP calculation (PBE) on a relaxed structure of LaYB3.

Calculated density, g/cm3: 4.397

Lattice parameters (Å, degrees): 4.615 4.615 4.615 90.00 90.00 90.00
Element x y z (fractional)
Y 0.500 0.500 0.500
B 0.000 0.500 0.000
B 0.000 0.000 0.500
B 0.500 0.000 0.000
La 0.000 0.000 0.000

=====

--- x ---
VASP calculation (PBE) on a relaxed structure of LaYB3.

Calculated density, g/cm3: 4.399

Lattice parameters (Å, degrees): 4.614 4.614 4.614 90.00 90.00 90.00
Element x y z (fractional)
Y 0.000 0.000 0.000
B 0.000 0.500 0.000
B 0.000 0.000 0.500
B 0.500 0.000 0.000
La 0.500 0.500 0.500

=====

Energies relative to the most stable structure are w 35.8; x 0.0, reported in kJ/mol of atoms.

=====

--- w ---
VASP calculation (PBE) on a relaxed structure of LaZnB3.

Calculated density, g/cm3: 5.389

Lattice parameters (Å, degrees): 4.178 4.178 4.178 90.00 90.00 90.00
Element x y z (fractional)
Zn 0.000 0.000 0.000
B 0.000 0.500 0.000
B 0.000 0.000 0.500
B 0.500 0.000 0.000
La 0.500 0.500 0.500

=====

--- x ---
VASP calculation (PBE) on a relaxed structure of LaZnB3.

Calculated density, g/cm3: 3.536

Lattice parameters (Å, degrees): 4.808 4.808 4.808 90.00 90.00 90.00
Element x y z (fractional)
Zn 0.500 0.500 0.500
B 0.000 0.500 0.000
B 0.000 0.000 0.500
B 0.500 0.000 0.000
La 0.000 0.000 0.000

=====

Energies relative to the most stable structure are w 0.0; x 136.7, reported in kJ/mol of atoms.

=====

--- w ---
VASP calculation (PBE) on a relaxed structure of LaZrB2.

Calculated density, g/cm3: 4.640

Lattice parameters (Å, degrees): 5.255 5.255 7.510 69.52 69.52 90.00
Element x y z (fractional)
B 0.556 0.125 0.250
B 0.194 0.625 0.250
B 0.375 0.444 0.750
B 0.875 0.806 0.750
Zr 0.500 0.500 0.000
Zr 0.250 0.750 0.500
La 0.000 0.000 0.000
La 0.750 0.250 0.500

=====

--- x ---
VASP calculation (PBE) on a relaxed structure of LaZrB2.

Calculated density, g/cm3: 6.252

Lattice parameters (Å, degrees): 4.556 4.556 4.556 60.00 60.00 60.00
Element x y z (fractional)
B 0.250 0.250 0.250
B 0.750 0.750 0.750
Zr 0.000 0.000 0.000
La 0.500 0.500 0.500

=====

Energies relative to the most stable structure are w 17.9; x 0.0, reported in kJ/mol of atoms.

=====

--- w ---
VASP calculation (PBE) on a relaxed structure of LiB6.

Calculated density, g/cm3: 1.681

Lattice parameters (Å, degrees): 4.139 4.139 4.139 90.00 90.00 90.00
Element x y z (fractional)
B 0.197 0.500 0.500
B 0.500 0.500 0.803
B 0.500 0.500 0.197
B 0.500 0.197 0.500
B 0.500 0.803 0.500
B 0.803 0.500 0.500
Li 0.000 0.000 0.000

=====

--- x ---
VASP calculation (PBE) on a relaxed structure of LiB6.

Calculated density, g/cm3: 1.948

Lattice parameters (Å, degrees): 4.300 4.300 4.300 109.47 109.47 109.47
Element x y z (fractional)
Li 0.000 0.000 0.000
B 0.250 0.750 0.500
B 0.500 0.750 0.250
B 0.250 0.500 0.750
B 0.750 0.250 0.500
B 0.500 0.250 0.750
B 0.750 0.500 0.250

=====

Energies relative to the most stable structure are w 0.0; x 53.5, reported in kJ/mol of atoms.

=====

--- w ---
VASP calculation (PBE) on a relaxed structure of LiB3.

Calculated density, g/cm3: 2.115

Lattice parameters (Å, degrees): 5.010 5.010 6.067 114.39 114.39 90.00
Element x y z (fractional)
Li 0.788 0.788 0.575
Li 0.212 0.212 0.425
Li 0.750 0.250 0.500
Li 0.250 0.750 0.500
B 0.000 0.754 0.000
B 0.000 0.246 0.000
B 0.754 0.000 0.000
B 0.246 0.000 0.000
B 0.587 0.587 0.812
B 0.226 0.226 0.812
B 0.587 0.226 0.812
B 0.226 0.587 0.812
B 0.774 0.413 0.188
B 0.413 0.774 0.188
B 0.774 0.774 0.188
B 0.413 0.413 0.188

=====

--- x ---
VASP calculation (PBE) on a relaxed structure of LiB3.

Calculated density, g/cm3: 1.756

Lattice parameters (Å, degrees): 5.981 5.981 4.162 90.00 90.00 90.00
Element x y z (fractional)
Li 0.682 0.182 0.500
Li 0.318 0.818 0.500
Li 0.182 0.318 0.500
Li 0.818 0.682 0.500
B 0.500 0.500 0.706
B 0.000 0.000 0.706
B 0.500 0.500 0.294
B 0.000 0.000 0.294
B 0.634 0.663 0.000
B 0.366 0.337 0.000
B 0.134 0.837 0.000
B 0.866 0.163 0.000
B 0.337 0.634 0.000
B 0.663 0.366 0.000
B 0.163 0.134 0.000
B 0.837 0.866 0.000

=====

Energies relative to the most stable structure are w 75.2; x 0.0, reported in kJ/mol of atoms.

=====

--- w ---
VASP calculation (PBE) on a relaxed structure of LiMn3B.

Calculated density, g/cm3: 4.620

Lattice parameters (Å, degrees): 4.034 4.034 4.034 90.00 90.00 90.00
Element x y z (fractional)
B 0.000 0.000 0.000
Mn 0.000 0.500 0.000
Mn 0.000 0.000 0.500
Mn 0.500 0.000 0.000
Li 0.500 0.500 0.500

=====

--- x ---
VASP calculation (PBE) on a relaxed structure of LiMn3B.

Calculated density, g/cm3: 4.823

Lattice parameters (Å, degrees): 3.976 3.976 3.976 90.00 90.00 90.00
Element x y z (fractional)
B 0.500 0.500 0.500
Mn 0.000 0.500 0.000
Mn 0.000 0.000 0.500
Mn 0.500 0.000 0.000
Li 0.000 0.000 0.000

=====

Energies relative to the most stable structure are w 0.0; x 125.7, reported in kJ/mol of atoms.

=====

--- w ---
VASP calculation (PBE) on a relaxed structure of LiMnB2.

Calculated density, g/cm3: 3.308

Lattice parameters (Å, degrees): 3.408 3.408 7.608 77.06 77.06 90.00
Element x y z (fractional)
B 0.874 0.125 0.250
B 0.876 0.625 0.250
B 0.375 0.126 0.750
B 0.875 0.124 0.750
Mn 0.000 0.000 0.000
Mn 0.750 0.250 0.500
Li 0.500 0.500 0.000
Li 0.250 0.750 0.500

=====

--- x ---
VASP calculation (PBE) on a relaxed structure of LiMnB2.

Calculated density, g/cm3: 4.483

Lattice parameters (Å, degrees): 3.524 3.524 3.524 60.00 60.00 60.00
Element x y z (fractional)
B 0.250 0.250 0.250
B 0.750 0.750 0.750
Mn 0.500 0.500 0.500
Li 0.000 0.000 0.000

=====

Energies relative to the most stable structure are w 12.5; x 0.0, reported in kJ/mol of atoms.